Computed, not measured: a geometry-optimized KRe2P structure at the GGA-PBEsol level of DFT. Values from VASP.

## Properties
Magnetization = 0.00 μB per formula unit
Excess energy over the best structure of this formula in the dataset = 0 kJ/mol of formula units
Final energy = -7.90 eV/atom
Formation energy from the elements = 192.4 kJ/mol of formula units
Space group = Cm, No. 8

Geometry as Quantum ESPRESSO input:
```
&SYSTEM
  ibrav = 0, nat = 4, ntyp = 3
/
ATOMIC_SPECIES
Re 186.21 Re.upf
P 30.97 P.upf
K 39.10 K.upf
ATOMIC_POSITIONS crystal
Re 0.0099 0.0199 0.0025
Re 0.2670 0.5340 0.8656
P 0.7314 0.4629 0.1498
K 0.4916 0.9833 0.4821
CELL_PARAMETERS angstrom
2.9220 0.0000 0.0000
-1.4610 4.1224 0.0553
0.0000 -0.8847 6.8933
```